DFT (GGA-PBEsol) results for a relaxed structure of LaCdHg2.

## Properties
Formation enthalpy at 0 K = -0.362 eV per atom
N(E_F) = 2.609 states/eV per cell

a = 3.567 Å, b = 3.567 Å, c = 7.581 Å
α = 90.00°, β = 90.00°, γ = 90.00°
Atoms (fractional coordinates):
La: 0.000 0.000 0.000
Cd: 0.000 0.000 0.500
Hg: 0.500 0.500 0.276
Hg: 0.500 0.500 0.724

DFT (GGA-PBEsol) results for a relaxed structure of La2CdHg2.

## Properties
Formation enthalpy at 0 K = -0.464 eV per atom
N(E_F) = 10.808 states/eV per cell

a = 7.866 Å, b = 7.866 Å, c = 4.460 Å
α = 90.00°, β = 90.00°, γ = 90.00°
Atoms (fractional coordinates):
La: 0.168 0.332 0.000
La: 0.332 0.832 0.000
La: 0.668 0.168 0.000
La: 0.832 0.668 0.000
Cd: 0.000 0.000 0.500
Cd: 0.500 0.500 0.500
Hg: 0.134 0.634 0.500
Hg: 0.366 0.134 0.500
Hg: 0.634 0.866 0.500
Hg: 0.866 0.366 0.500

DFT (GGA-PBEsol) results for a relaxed structure of LaCdHg.

## Properties
Formation enthalpy at 0 K = -0.339 eV per atom
N(E_F) = 22.166 states/eV per cell

a = 7.027 Å, b = 7.027 Å, c = 7.027 Å
α = 90.00°, β = 90.00°, γ = 90.00°
Atoms (fractional coordinates):
La: 0.000 0.000 0.000
La: 0.000 0.500 0.500
La: 0.500 0.000 0.500
La: 0.500 0.500 0.000
Cd: 0.000 0.000 0.500
Cd: 0.000 0.500 0.000
Cd: 0.500 0.000 0.000
Cd: 0.500 0.500 0.500
Hg: 0.250 0.250 0.250
Hg: 0.250 0.750 0.750
Hg: 0.750 0.250 0.750
Hg: 0.750 0.750 0.250

DFT (GGA-PBEsol) results for a relaxed structure of LaCdHg.

## Properties
Formation enthalpy at 0 K = -0.498 eV per atom
N(E_F) = 2.071 states/eV per cell

a = 5.006 Å, b = 5.006 Å, c = 3.474 Å
α = 90.00°, β = 90.00°, γ = 120.00°
Atoms (fractional coordinates):
La: 0.000 0.000 0.000
Cd: 0.667 0.333 0.500
Hg: 0.333 0.667 0.500

DFT (GGA-PBEsol) results for a relaxed structure of LaCdHg2P.

## Properties
Formation enthalpy at 0 K = 0.085 eV per atom
N(E_F) = 3.599 states/eV per cell

a = 5.030 Å, b = 5.030 Å, c = 5.016 Å
α = 90.00°, β = 90.00°, γ = 90.00°
Atoms (fractional coordinates):
La: 0.000 0.000 0.000
Cd: 0.500 0.500 0.000
Hg: 0.000 0.500 0.500
Hg: 0.500 0.000 0.500
P: 0.500 0.500 0.500

DFT (GGA-PBEsol) results for a relaxed structure of LiCd2Hg.

## Properties
Formation enthalpy at 0 K = -0.187 eV per atom
N(E_F) = 1.283 states/eV per cell

a = 3.575 Å, b = 3.575 Å, c = 6.111 Å
α = 90.00°, β = 90.00°, γ = 90.00°
Atoms (fractional coordinates):
Li: 0.000 0.000 0.000
Cd: 0.500 0.500 0.235
Cd: 0.500 0.500 0.765
Hg: 0.000 0.000 0.500

DFT (GGA-PBEsol) results for a relaxed structure of LiCdHg.

## Properties
Formation enthalpy at 0 K = -0.252 eV per atom
Distance to the lowest polymorph of the same formula = 38.7 meV/atom
N(E_F) = 0.810 states/eV per cell

a = 4.836 Å, b = 4.836 Å, c = 2.988 Å
α = 90.00°, β = 90.00°, γ = 120.00°
Atoms (fractional coordinates):
Li: 0.000 0.000 0.000
Cd: 0.333 0.667 0.498
Hg: 0.667 0.333 0.500

DFT (GGA-PBEsol) results for a relaxed structure of LiCd2Hg.

## Properties
Formation enthalpy at 0 K = -0.213 eV per atom
N(E_F) = 1.993 states/eV per cell

a = 4.519 Å, b = 4.519 Å, c = 7.549 Å
α = 90.00°, β = 90.00°, γ = 90.00°
Atoms (fractional coordinates):
Li: 0.000 0.000 0.000
Li: 0.500 0.500 0.500
Cd: 0.000 0.500 0.250
Cd: 0.000 0.500 0.750
Cd: 0.500 0.000 0.250
Cd: 0.500 0.000 0.750
Hg: 0.000 0.000 0.500
Hg: 0.500 0.500 0.000

DFT (GGA-PBEsol) results for a relaxed structure of LiCdHg2.

## Properties
Formation enthalpy at 0 K = -0.231 eV per atom
N(E_F) = 2.020 states/eV per cell

a = 4.383 Å, b = 4.383 Å, c = 8.304 Å
α = 90.00°, β = 90.00°, γ = 90.00°
Atoms (fractional coordinates):
Li: 0.000 0.000 0.000
Li: 0.500 0.500 0.500
Cd: 0.000 0.500 0.250
Cd: 0.500 0.000 0.750
Hg: 0.000 0.000 0.500
Hg: 0.000 0.500 0.750
Hg: 0.500 0.000 0.250
Hg: 0.500 0.500 0.000

DFT (GGA-PBEsol) results for a relaxed structure of LiCd2Hg.

## Properties
Formation enthalpy at 0 K = -0.222 eV per atom
N(E_F) = 3.741 states/eV per cell

a = 6.773 Å, b = 6.773 Å, c = 6.773 Å
α = 90.00°, β = 90.00°, γ = 90.00°
Atoms (fractional coordinates):
Li: 0.000 0.000 0.000
Li: 0.000 0.500 0.500
Li: 0.500 0.000 0.500
Li: 0.500 0.500 0.000
Cd: 0.000 0.000 0.500
Cd: 0.000 0.500 0.000
Cd: 0.250 0.250 0.750
Cd: 0.250 0.750 0.250
Cd: 0.500 0.000 0.000
Cd: 0.500 0.500 0.500
Cd: 0.750 0.250 0.250
Cd: 0.750 0.750 0.750
Hg: 0.250 0.250 0.250
Hg: 0.250 0.750 0.750
Hg: 0.750 0.250 0.750
Hg: 0.750 0.750 0.250

DFT (GGA-PBEsol) results for a relaxed structure of LiCdHg2.

## Properties
Formation enthalpy at 0 K = -0.216 eV per atom
N(E_F) = 4.972 states/eV per cell

a = 6.809 Å, b = 6.809 Å, c = 6.809 Å
α = 90.00°, β = 90.00°, γ = 90.00°
Atoms (fractional coordinates):
Li: 0.000 0.000 0.000
Li: 0.000 0.500 0.500
Li: 0.500 0.000 0.500
Li: 0.500 0.500 0.000
Cd: 0.250 0.250 0.750
Cd: 0.250 0.750 0.250
Cd: 0.750 0.250 0.250
Cd: 0.750 0.750 0.750
Hg: 0.000 0.000 0.500
Hg: 0.000 0.500 0.000
Hg: 0.250 0.250 0.250
Hg: 0.250 0.750 0.750
Hg: 0.500 0.000 0.000
Hg: 0.500 0.500 0.500
Hg: 0.750 0.250 0.750
Hg: 0.750 0.750 0.250

DFT (GGA-PBEsol) results for a relaxed structure of LiCdHg2.

## Properties
Formation enthalpy at 0 K = -0.247 eV per atom
N(E_F) = 1.212 states/eV per cell

a = 3.230 Å, b = 3.477 Å, c = 6.936 Å
α = 90.00°, β = 90.00°, γ = 90.00°
Atoms (fractional coordinates):
Li: 0.000 0.000 0.000
Cd: 0.000 0.000 0.500
Hg: 0.500 0.500 0.224
Hg: 0.500 0.500 0.776

DFT (GGA-PBEsol) results for a relaxed structure of LiCd2Hg.

## Properties
Formation enthalpy at 0 K = -0.207 eV per atom
N(E_F) = 0.961 states/eV per cell

a = 3.385 Å, b = 3.385 Å, c = 6.660 Å
α = 90.00°, β = 90.00°, γ = 90.00°
Atoms (fractional coordinates):
Li: 0.000 0.000 0.000
Cd: 0.000 0.000 0.510
Cd: 0.500 0.500 0.240
Hg: 0.500 0.500 0.791

DFT (GGA-PBEsol) results for a relaxed structure of LiCdHg2.

## Properties
Formation enthalpy at 0 K = -0.193 eV per atom
N(E_F) = 2.623 states/eV per cell

a = 9.451 Å, b = 3.474 Å, c = 5.140 Å
α = 90.00°, β = 104.53°, γ = 90.00°
Atoms (fractional coordinates):
Li: 0.000 0.000 0.000
Li: 0.500 0.500 0.000
Cd: 0.000 0.500 0.500
Cd: 0.500 0.000 0.500
Hg: 0.242 0.500 0.236
Hg: 0.258 0.000 0.764
Hg: 0.742 0.000 0.236
Hg: 0.758 0.500 0.764

DFT (GGA-PBEsol) results for a relaxed structure of LiCd2Hg.

## Properties
Formation enthalpy at 0 K = -0.172 eV per atom
N(E_F) = 1.081 states/eV per cell

a = 3.075 Å, b = 4.921 Å, c = 5.266 Å
α = 90.00°, β = 92.82°, γ = 90.00°
Atoms (fractional coordinates):
Li: 0.000 0.000 0.000
Cd: 0.262 0.500 0.759
Cd: 0.738 0.500 0.241
Hg: 0.500 0.000 0.500

DFT (GGA-PBEsol) results for a relaxed structure of Li2CdHg.

## Properties
Formation enthalpy at 0 K = -0.340 eV per atom
Distance to the lowest polymorph of the same formula = 7.2 meV/atom
N(E_F) = 2.484 states/eV per cell

a = 4.176 Å, b = 4.176 Å, c = 8.128 Å
α = 90.00°, β = 90.00°, γ = 90.00°
Atoms (fractional coordinates):
Li: 0.000 0.000 0.000
Li: 0.000 0.500 0.250
Li: 0.500 0.000 0.750
Li: 0.500 0.500 0.500
Cd: 0.000 0.500 0.750
Cd: 0.500 0.000 0.250
Hg: 0.000 0.000 0.500
Hg: 0.500 0.500 0.000

DFT (GGA-PBEsol) results for a relaxed structure of LiCdHg2.

## Properties
Formation enthalpy at 0 K = -0.183 eV per atom
N(E_F) = 1.179 states/eV per cell

a = 5.080 Å, b = 3.259 Å, c = 5.346 Å
α = 90.00°, β = 111.33°, γ = 90.00°
Atoms (fractional coordinates):
Li: 0.000 0.000 0.000
Cd: 0.000 0.500 0.500
Hg: 0.500 0.000 0.500
Hg: 0.500 0.500 0.000

DFT (GGA-PBEsol) results for a relaxed structure of Li2CdHg.

## Properties
Formation enthalpy at 0 K = -0.266 eV per atom
Distance to the lowest polymorph of the same formula = 80.9 meV/atom
N(E_F) = 1.443 states/eV per cell

a = 3.148 Å, b = 3.896 Å, c = 5.981 Å
α = 90.00°, β = 90.00°, γ = 90.00°
Atoms (fractional coordinates):
Li: 0.000 0.000 0.000
Li: 0.500 0.500 0.267
Cd: 0.000 0.000 0.493
Hg: 0.500 0.500 0.792

DFT (GGA-PBEsol) results for a relaxed structure of Li2CdHg.

## Properties
Formation enthalpy at 0 K = -0.220 eV per atom
Distance to the lowest polymorph of the same formula = 126.8 meV/atom
N(E_F) = 4.530 states/eV per cell

a = 3.083 Å, b = 3.083 Å, c = 27.797 Å
α = 90.00°, β = 90.00°, γ = 120.00°
Atoms (fractional coordinates):
Li: 0.000 0.000 0.248
Li: 0.000 0.000 0.752
Li: 0.333 0.667 0.419
Li: 0.333 0.667 0.915
Li: 0.667 0.333 0.085
Li: 0.667 0.333 0.581
Cd: 0.000 0.000 0.000
Cd: 0.333 0.667 0.667
Cd: 0.667 0.333 0.333
Hg: 0.000 0.000 0.500
Hg: 0.333 0.667 0.167
Hg: 0.667 0.333 0.833

DFT (GGA-PBEsol) results for a relaxed structure of Li2CdHg.

## Properties
Formation enthalpy at 0 K = -0.345 eV per atom
Distance to the lowest polymorph of the same formula = 2.0 meV/atom
N(E_F) = 1.155 states/eV per cell

a = 3.260 Å, b = 3.260 Å, c = 6.483 Å
α = 90.00°, β = 90.00°, γ = 90.00°
Atoms (fractional coordinates):
Li: 0.000 0.000 0.242
Li: 0.000 0.000 0.758
Cd: 0.500 0.500 0.500
Hg: 0.500 0.500 0.000